(1)
Below is a PBEsol-optimized structure of KTcP2Cl, with properties calculated at the SCAN level.

The structure in CIF format:
```
data_KTcP2Cl
_space_group_name_H-M_alt 'P 1'
_space_group_IT_number 1
_space_group_name_Hall 'P 1'
_cell_length_a 5.129
_cell_length_b 5.140
_cell_length_c 5.140
_cell_angle_alpha 90.00
_cell_angle_beta 90.00
_cell_angle_gamma 90.00
loop_
_atom_site_label
_atom_site_type_symbol
_atom_site_fract_x
_atom_site_fract_y
_atom_site_fract_z
P1 P 0.000 0.000 0.500
P2 P 0.000 0.500 0.000
K1 K 0.000 0.000 0.000
Tc1 Tc 0.500 0.500 0.500
Cl1 Cl 0.500 0.000 0.000
```

Values from the calculation:
**Formation energy without anion corrections**: 1.791 eV/atom
**V**: 135.5 Å³ per cell
**Raw total energy**: -12.642 eV/atom


(2)
Below is a PBEsol-optimized structure of Mn12Ru17, with properties calculated at the SCAN level.

The structure in CIF format:
```
data_Mn12Ru17
_space_group_name_H-M_alt 'P 1'
_space_group_IT_number 1
_space_group_name_Hall 'P 1'
_cell_length_a 7.712
_cell_length_b 7.712
_cell_length_c 7.712
_cell_angle_alpha 109.47
_cell_angle_beta 109.47
_cell_angle_gamma 109.47
loop_
_atom_site_label
_atom_site_type_symbol
_atom_site_fract_x
_atom_site_fract_y
_atom_site_fract_z
Mn1 Mn 0.173 0.360 0.360
Mn2 Mn 0.827 0.187 0.187
Mn3 Mn 0.000 0.813 0.640
Mn4 Mn 0.000 0.640 0.813
Mn5 Mn 0.360 0.173 0.360
Mn6 Mn 0.187 0.827 0.187
Mn7 Mn 0.640 0.000 0.813
Mn8 Mn 0.813 0.000 0.640
Mn9 Mn 0.360 0.360 0.173
Mn10 Mn 0.187 0.187 0.827
Mn11 Mn 0.813 0.640 0.000
Mn12 Mn 0.640 0.813 0.000
Ru1 Ru 0.710 0.389 0.389
Ru2 Ru 0.290 0.679 0.679
Ru3 Ru 0.000 0.321 0.611
Ru4 Ru 0.000 0.611 0.321
Ru5 Ru 0.389 0.710 0.389
Ru6 Ru 0.679 0.290 0.679
Ru7 Ru 0.611 0.000 0.321
Ru8 Ru 0.321 0.000 0.611
Ru9 Ru 0.389 0.389 0.710
Ru10 Ru 0.679 0.679 0.290
Ru11 Ru 0.321 0.611 0.000
Ru12 Ru 0.611 0.321 0.000
Ru13 Ru 0.651 0.651 0.651
Ru14 Ru 0.349 0.000 0.000
Ru15 Ru 0.000 0.000 0.349
Ru16 Ru 0.000 0.349 0.000
Ru17 Ru 0.000 0.000 0.000
```

Values from the calculation:
**Calculated formation energy**: 0.1035 eV/atom
**V**: 353.1 Å³ per cell
**Raw total energy**: -27.866 eV/atom


(3)
Below is a PBEsol-optimized structure of AsPdWBr2, with properties calculated at the SCAN level.

The structure in CIF format:
```
data_AsPdWBr2
_space_group_name_H-M_alt 'P 1'
_space_group_IT_number 1
_space_group_name_Hall 'P 1'
_cell_length_a 4.857
_cell_length_b 4.954
_cell_length_c 4.954
_cell_angle_alpha 90.00
_cell_angle_beta 90.00
_cell_angle_gamma 90.00
loop_
_atom_site_label
_atom_site_type_symbol
_atom_site_fract_x
_atom_site_fract_y
_atom_site_fract_z
As1 As 0.500 0.000 0.000
Br1 Br 0.000 0.000 0.500
Br2 Br 0.000 0.500 0.000
Pd1 Pd 0.500 0.500 0.500
W1 W 0.000 0.000 0.000
```

Values from the calculation:
**Formation energy without anion corrections**: 0.836 eV/atom
**V**: 119.2 Å³ per cell
**Raw total energy**: -31.478 eV/atom


(4)
Below is a PBEsol-optimized structure of LaMgPd3, with properties calculated at the SCAN level.

The structure in CIF format:
```
data_LaMgPd3
_space_group_name_H-M_alt 'P 1'
_space_group_IT_number 1
_space_group_name_Hall 'P 1'
_cell_length_a 4.692
_cell_length_b 4.692
_cell_length_c 4.692
_cell_angle_alpha 90.00
_cell_angle_beta 90.00
_cell_angle_gamma 90.00
loop_
_atom_site_label
_atom_site_type_symbol
_atom_site_fract_x
_atom_site_fract_y
_atom_site_fract_z
Mg1 Mg 0.000 0.000 0.000
Pd1 Pd 0.000 0.500 0.000
Pd2 Pd 0.000 0.000 0.500
Pd3 Pd 0.500 0.000 0.000
La1 La 0.500 0.500 0.500
```

Values from the calculation:
**Calculated formation energy**: -0.3520 eV/atom
**V**: 103.3 Å³ per cell
**Raw total energy**: -29.632 eV/atom


(5)
Below is a PBEsol-optimized structure of CuWSe2, with properties calculated at the SCAN level.

The structure in CIF format:
```
data_CuWSe2
_space_group_name_H-M_alt 'P 1'
_space_group_IT_number 1
_space_group_name_Hall 'P 1'
_cell_length_a 3.131
_cell_length_b 3.131
_cell_length_c 6.290
_cell_angle_alpha 90.00
_cell_angle_beta 90.00
_cell_angle_gamma 90.00
loop_
_atom_site_label
_atom_site_type_symbol
_atom_site_fract_x
_atom_site_fract_y
_atom_site_fract_z
Cu1 Cu 0.500 0.500 0.500
Se1 Se 0.000 0.000 0.759
Se2 Se 0.000 0.000 0.241
W1 W 0.500 0.500 0.000
```

Values from the calculation:
**Formation energy without anion corrections**: 0.298 eV/atom
**V**: 61.7 Å³ per cell
**Raw total energy**: -30.963 eV/atom


(6)
Below is a PBEsol-optimized structure of MoP2Ru, with properties calculated at the SCAN level.

The structure in CIF format:
```
data_MoP2Ru
_space_group_name_H-M_alt 'P 1'
_space_group_IT_number 1
_space_group_name_Hall 'P 1'
_cell_length_a 3.292
_cell_length_b 3.087
_cell_length_c 5.838
_cell_angle_alpha 105.33
_cell_angle_beta 106.37
_cell_angle_gamma 90.00
loop_
_atom_site_label
_atom_site_type_symbol
_atom_site_fract_x
_atom_site_fract_y
_atom_site_fract_z
Mo1 Mo 0.208 0.708 0.416
P1 P 0.037 0.037 0.075
P2 P 0.797 0.297 0.595
Ru1 Ru 0.457 0.457 0.914
```

Values from the calculation:
**Calculated formation energy**: -0.4908 eV/atom
**V**: 54.7 Å³ per cell
**Raw total energy**: -23.118 eV/atom


(7)
Below is a PBEsol-optimized structure of SrMn2CdPb, with properties calculated at the SCAN level.

The structure in CIF format:
```
data_SrMn2CdPb
_space_group_name_H-M_alt 'P 1'
_space_group_IT_number 1
_space_group_name_Hall 'P 1'
_cell_length_a 5.041
_cell_length_b 5.041
_cell_length_c 5.742
_cell_angle_alpha 90.00
_cell_angle_beta 90.00
_cell_angle_gamma 90.00
loop_
_atom_site_label
_atom_site_type_symbol
_atom_site_fract_x
_atom_site_fract_y
_atom_site_fract_z
Pb1 Pb 0.500 0.500 0.500
Sr1 Sr 0.000 0.000 0.500
Mn1 Mn 0.000 0.500 0.000
Mn2 Mn 0.500 0.000 0.000
Cd1 Cd 0.000 0.000 0.000
```

Values from the calculation:
**Calculated formation energy**: 0.3596 eV/atom
**V**: 145.9 Å³ per cell
**Raw total energy**: -32.637 eV/atom


(8)
Below is a PBEsol-optimized structure of SrMg2Hg, with properties calculated at the SCAN level.

The structure in CIF format:
```
data_SrMg2Hg
_space_group_name_H-M_alt 'P 1'
_space_group_IT_number 1
_space_group_name_Hall 'P 1'
_cell_length_a 4.919
_cell_length_b 4.919
_cell_length_c 6.101
_cell_angle_alpha 66.22
_cell_angle_beta 66.22
_cell_angle_gamma 60.00
loop_
_atom_site_label
_atom_site_type_symbol
_atom_site_fract_x
_atom_site_fract_y
_atom_site_fract_z
Sr1 Sr 0.492 0.492 0.523
Mg1 Mg 0.022 0.022 0.935
Mg2 Mg 0.286 0.286 0.143
Hg1 Hg 0.697 0.697 0.910
```

Values from the calculation:
**Calculated formation energy**: -0.3402 eV/atom
**V**: 113.2 Å³ per cell
**Raw total energy**: -25.437 eV/atom